CeYPuMg | PBE | relaxed

Lattice parameters (Å, degrees): 7.6581 7.6581 7.6581 90.00 90.00 90.00
Space group F-43m (No. 216)
Asymmetric unit:
Ce  0.0000  0.0000  0.0000 (multiplicity 4)
Y  0.0000  0.0000  0.5000 (multiplicity 4)
Pu  0.2500  0.2500  0.7500 (multiplicity 4)
Mg  0.2500  0.2500  0.2500 (multiplicity 4)

DFT formation energy: 0.135 eV per atom
crystal system: cubic